Na3SiPd3O8 GGA-PBE relaxed; formation energy (no corrections) = -1.221 eV/atom; magnetic moment = 0.002 μB per formula unit
1.0
-0.4009 -0.4258 5.8432
2.0034 -5.4325 -3.2092
4.0539 4.8614 0.6323
Si O Na Pd
1 8 3 3
direct
0.0000 0.0000 0.5000 Si
0.7587 0.9564 0.2866 O
0.1977 0.9564 0.2866 O
0.7047 0.4094 0.6634 O
0.8023 0.0436 0.7134 O
0.8125 0.6249 0.3557 O
0.1875 0.3751 0.6443 O
0.2413 0.0436 0.7134 O
0.2953 0.5906 0.3366 O
0.0000 0.0000 0.0000 Na
0.5000 0.5000 0.0000 Na
0.0000 0.5000 0.0000 Na
0.0000 0.5000 0.5000 Pd
0.5000 0.0000 0.5000 Pd
0.5000 0.5000 0.5000 Pd



NaSm2PdO6 GGA-PBE relaxed; formation energy (no corrections) = -2.047 eV/atom; magnetic moment = 0.677 μB per formula unit
1.0
5.5122 0.0000 0.0339
0.0000 5.9635 0.0000
0.0967 0.0000 7.8982
O Sm Na Pd
12 4 2 2
direct
0.8683 0.5552 0.2341 O
0.8367 0.7867 0.9269 O
0.7996 0.8256 0.5567 O
0.7004 0.3256 0.9433 O
0.1317 0.4448 0.7659 O
0.6633 0.2867 0.5731 O
0.2996 0.6744 0.0567 O
0.1633 0.2133 0.0731 O
0.3683 0.9448 0.7341 O
0.6317 0.0552 0.2659 O
0.3367 0.7133 0.4269 O
0.2004 0.1744 0.4433 O
0.9762 0.0788 0.7459 Sm
0.0238 0.9212 0.2541 Sm
0.4762 0.4212 0.2459 Sm
0.5238 0.5788 0.7541 Sm
0.0000 0.5000 0.5000 Na
0.5000 0.0000 0.0000 Na
0.5000 0.0000 0.5000 Pd
0.0000 0.5000 0.0000 Pd



Na4SmPd3O8 GGA-PBE relaxed; formation energy (no corrections) = -1.271 eV/atom; magnetic moment = 0.711 μB per formula unit
1.0
6.2343 0.0000 0.0000
0.0000 6.4579 -0.0336
-3.1171 -3.2509 5.3264
O Na Sm Pd
8 4 1 3
direct
0.3040 0.7621 0.0651 O
0.3058 0.3620 0.6115 O
0.6942 0.6380 0.3885 O
0.6960 0.2379 0.9349 O
0.2388 0.2379 0.9349 O
0.7732 0.3230 0.5465 O
0.7612 0.7621 0.0651 O
0.2268 0.6770 0.4535 O
0.5000 0.0000 0.5000 Na
0.5000 0.0000 0.0000 Na
0.0000 0.0000 0.0000 Na
0.0000 0.0000 0.5000 Na
0.0000 0.5000 0.0000 Sm
0.0000 0.5000 0.5000 Pd
0.5000 0.5000 0.5000 Pd
0.5000 0.5000 0.0000 Pd



Na3Sm2PdO6 GGA-PBE relaxed; formation energy (no corrections) = -2.013 eV/atom; magnetic moment = 1.006 μB per formula unit
1.0
-3.5235 -1.6669 4.4102
0.9763 -3.6189 -4.5380
5.2267 -0.5195 2.7417
O Pd Sm Na
6 1 2 3
direct
0.4037 0.0763 0.2281 O
0.9237 0.5963 0.7719 O
0.5963 0.9237 0.7719 O
0.0763 0.4037 0.2281 O
0.7632 0.7632 0.2030 O
0.2368 0.2368 0.7970 O
0.0000 0.0000 0.0000 Pd
0.6703 0.3297 0.0000 Sm
0.3297 0.6703 0.0000 Sm
0.8443 0.1557 0.5000 Na
0.1557 0.8443 0.5000 Na
0.5000 0.5000 0.5000 Na



Na3Sm3PdO8 GGA-PBE relaxed; formation energy (no corrections) = -2.213 eV/atom; magnetic moment = 0.000 μB per formula unit
1.0
6.8780 0.0000 0.0000
-3.4390 5.9568 -0.0200
0.0000 -3.9525 5.5731
O Na Sm Pd
8 3 3 1
direct
0.2178 0.4357 0.7035 O
0.7379 0.4759 0.7138 O
0.2621 0.5241 0.2862 O
0.7822 0.5643 0.2965 O
0.7679 0.9857 0.7035 O
0.7822 0.0143 0.2965 O
0.2178 0.9857 0.7035 O
0.2321 0.0143 0.2965 O
0.5000 0.5000 0.0000 Na
0.0000 0.0000 0.0000 Na
0.0000 0.5000 0.0000 Na
0.0000 0.5000 0.5000 Sm
0.5000 0.0000 0.5000 Sm
0.5000 0.5000 0.5000 Sm
0.0000 0.0000 0.5000 Pd



Na4SnPd3O8 GGA-PBE relaxed; formation energy (no corrections) = -1.133 eV/atom; magnetic moment = 0.000 μB per formula unit
1.0
-2.8738 5.3909 0.3492
-4.7017 -2.2915 -3.3183
1.6220 -3.0134 6.2579
Pd O Na Sn
3 8 4 1
direct
0.5000 0.5000 0.0000 Pd
0.0000 0.5000 0.5000 Pd
0.5000 0.5000 0.5000 Pd
0.2154 0.2424 0.9269 O
0.7846 0.7576 0.0731 O
0.2885 0.7576 0.0731 O
0.1962 0.6422 0.3924 O
0.6884 0.6254 0.3768 O
0.7115 0.2424 0.9269 O
0.8038 0.3578 0.6076 O
0.3116 0.3746 0.6232 O
0.0000 0.0000 0.5000 Na
0.0000 0.0000 0.0000 Na
0.5000 0.0000 0.0000 Na
0.5000 0.0000 0.5000 Na
0.0000 0.5000 0.0000 Sn



Na2SnPdO GGA-PBE relaxed; formation energy (no corrections) = -0.105 eV/atom; magnetic moment = 0.000 μB per formula unit
1.0
-4.6891 -3.4603 -0.8681
0.7444 -1.8066 3.1804
-3.3685 3.8222 2.9595
Sn Na O Pd
1 2 1 1
direct
0.5000 0.5000 0.5000 Sn
0.5000 0.0000 0.0000 Na
0.0000 0.0000 0.5000 Na
0.0000 0.5000 0.0000 O
0.0000 0.0000 0.0000 Pd



Na2SnPdO4 GGA-PBE relaxed; formation energy (no corrections) = -1.229 eV/atom; magnetic moment = 0.000 μB per formula unit
1.0
-5.0792 -0.6716 -1.1444
1.2251 -2.2588 4.5778
1.1664 5.0915 0.5245
Pd Na O Sn
1 2 4 1
direct
0.5000 0.2500 0.7500 Pd
0.5000 0.7500 0.2500 Na
0.0000 0.0000 0.0000 Na
0.3616 0.9071 0.8752 O
0.9681 0.4545 0.0929 O
0.6384 0.5136 0.5455 O
0.0319 0.1248 0.4864 O
0.0000 0.5000 0.5000 Sn



> Among the records above, which one has the highest formation energy (no corrections)?

Na2SnPdO